(1)
{"formula": "Li3ZnGe", "functional": "PBE", "state": "relaxed", "lattice_angstrom": [[6.419, -0.452, -0.091], [-3.545, 5.370, 0.091], [-3.065, -1.507, 5.454]], "species": ["Ge", "Ge", "Li", "Li", "Li", "Li", "Li", "Li", "Zn", "Zn"], "fractional_positions": [[0.581, 0.781, 0.300], [0.482, 0.281, 0.700], [0.034, 0.256, 0.725], [0.531, 0.309, 0.275], [0.531, 0.756, 0.722], [0.034, 0.809, 0.278], [0.958, 0.781, 0.678], [0.103, 0.281, 0.322], [0.031, 0.531, 0.000], [0.530, 0.031, 0.000]], "delta_e_f_kj_per_mol_atoms": -12.9, "total_energy_ev_per_atom": -2.461}

---

(2)
{"formula": "Rb2NbCuHg", "functional": "PBE", "state": "relaxed", "lattice_angstrom": [[-4.548, -1.949, -4.373], [0.090, -4.672, 1.989], [-4.786, 1.703, 4.219]], "species": ["Rb", "Rb", "Hg", "Nb", "Cu"], "fractional_positions": [[0.500, 0.000, 0.000], [0.000, 0.000, 0.500], [0.500, 0.500, 0.500], [0.000, 0.500, 0.000], [0.000, 0.000, 0.000]], "delta_e_f_kj_per_mol_atoms": 87.7, "total_energy_ev_per_atom": -2.371}

---

(3)
{"formula": "Nd2CuNi3Ge4", "functional": "PBE", "state": "relaxed", "lattice_angstrom": [[4.181, 0.000, 0.000], [0.000, 4.181, 0.000], [0.000, 0.000, 9.760]], "species": ["Ni", "Ni", "Ni", "Nd", "Nd", "Ge", "Ge", "Ge", "Ge", "Cu"], "fractional_positions": [[0.000, 0.000, 0.500], [0.500, 0.000, 0.879], [0.000, 0.500, 0.121], [0.000, 0.500, 0.750], [0.500, 0.000, 0.250], [0.500, 0.000, 0.634], [0.000, 0.500, 0.366], [0.000, 0.000, 0.000], [0.500, 0.500, 0.000], [0.500, 0.500, 0.500]], "delta_e_f_kj_per_mol_atoms": -63.4, "total_energy_ev_per_atom": -5.601}

---

(4)
{"formula": "PrThNiAu", "functional": "PBE", "state": "relaxed", "lattice_angstrom": [[-4.608, 0.739, -2.170], [-0.781, -1.349, -4.905], [-2.996, -4.033, -1.114]], "species": ["Au", "Th", "Ni", "Pr"], "fractional_positions": [[0.750, 0.750, 0.750], [0.000, 0.000, 0.000], [0.250, 0.250, 0.250], [0.500, 0.500, 0.500]], "delta_e_f_kj_per_mol_atoms": -36.5, "total_energy_ev_per_atom": -5.693}

---

(5)
{"formula": "Ce2ScAs3", "functional": "PBE", "state": "relaxed", "lattice_angstrom": [[4.110, 0.000, 0.000], [0.000, 5.849, 0.000], [-2.055, -2.925, 6.139]], "species": ["As", "As", "As", "Sc", "Ce", "Ce"], "fractional_positions": [[0.157, 0.657, 0.813], [0.843, 0.343, 0.187], [0.500, 0.000, 0.500], [0.500, 0.500, 0.500], [0.831, 0.831, 0.162], [0.169, 0.169, 0.838]], "delta_e_f_kj_per_mol_atoms": -132.3, "total_energy_ev_per_atom": -6.729}

---

(6)
{"formula": "Tm8Ag2Ir", "functional": "PBE", "state": "relaxed", "lattice_angstrom": [[-2.864, -1.644, -4.984], [-0.700, -7.009, 5.108], [-2.870, 8.098, 1.372]], "species": ["Tm", "Tm", "Tm", "Tm", "Tm", "Tm", "Tm", "Tm", "Ag", "Ag", "Ir"], "fractional_positions": [[0.651, 0.388, 0.152], [0.288, 0.844, 0.615], [0.651, 0.152, 0.388], [0.986, 0.198, 0.813], [0.763, 0.722, 0.722], [0.288, 0.615, 0.844], [0.127, 0.277, 0.277], [0.986, 0.813, 0.198], [0.489, 0.293, 0.727], [0.489, 0.727, 0.293], [0.281, 0.006, 0.006]], "delta_e_f_kj_per_mol_atoms": -23.2, "total_energy_ev_per_atom": -4.817}

---

(7)
{"formula": "Ca3DyTh2Sb6", "functional": "PBE", "state": "relaxed", "lattice_angstrom": [[7.826, -0.001, 0.000], [-3.912, 6.779, 0.000], [-1.306, -2.261, 7.359]], "species": ["Sb", "Sb", "Sb", "Sb", "Sb", "Sb", "Th", "Th", "Ca", "Ca", "Ca", "Dy"], "fractional_positions": [[0.248, 0.248, 0.756], [0.081, 0.410, 0.242], [0.590, 0.919, 0.758], [0.410, 0.081, 0.242], [0.752, 0.752, 0.244], [0.919, 0.590, 0.758], [0.334, 0.666, 0.000], [0.666, 0.334, 0.000], [0.832, 0.168, 0.500], [0.500, 0.500, 0.500], [0.168, 0.832, 0.500], [0.000, 0.000, 0.000]], "total_energy_ev_per_atom": -5.150, "formation_energy_uncorrected_kcal_per_mol_atoms": -22.33}

---

(8)
{"formula": "Sm4Dy3Se8", "functional": "PBE", "state": "relaxed", "lattice_angstrom": [[8.232, -0.117, -0.168], [-4.017, 7.181, 0.133], [-4.017, -2.369, 6.781]], "species": ["Dy", "Dy", "Dy", "Se", "Se", "Se", "Se", "Se", "Se", "Se", "Se", "Sm", "Sm", "Sm", "Sm"], "fractional_positions": [[0.500, 0.500, 0.500], [0.500, 0.500, 0.000], [0.500, 0.000, 0.500], [0.489, 0.742, 0.742], [0.000, 0.255, 0.745], [0.006, 0.258, 0.258], [0.500, 0.253, 0.747], [0.000, 0.745, 0.255], [0.511, 0.258, 0.258], [0.500, 0.747, 0.253], [0.994, 0.742, 0.742], [0.000, 0.500, 0.000], [0.000, 0.000, 0.000], [0.000, 0.000, 0.500], [0.500, 0.000, 0.000]], "total_energy_ev_per_atom": -5.883, "formation_energy_uncorrected_kcal_per_mol_atoms": -42.57}